1.
# V3PIr

An optimized crystal structure of V3PIr (PBE, Alexandria via LeMat-Bulk).

Summary:
Energy relative to the lowest polymorph listed for this composition   0.0000 eV/atom
DFT formation energy   0.25 eV/atom
Volume   76.51 Å³/cell

```
V3PIr
1.0
-1.2539 3.5554 1.9516
-2.4292 0.9774 -3.3415
-3.2478 -2.1038 1.7458
P Ir V
1 1 3
direct
0.0000 0.0000 0.0000
0.5000 0.5000 0.5000
0.0000 0.5000 0.0000
0.0000 0.0000 0.5000
0.5000 0.0000 0.0000
```

=====

2.
# V2PIr

An optimized crystal structure of V2PIr (PBE, Alexandria via LeMat-Bulk).

Summary:
DFT formation energy   0.33 eV/atom
Volume   162.50 Å³/cell

```
V2PIr
1.0
-1.4140 -4.7108 2.5812
4.4332 -2.5306 -2.1900
4.3858 -2.1959 4.3715
P Ir V
2 2 4
direct
0.5000 0.5000 0.0000
0.2500 0.7500 0.5000
0.0000 0.0000 0.0000
0.7500 0.2500 0.5000
0.6184 0.1250 0.2500
0.1316 0.6250 0.2500
0.3750 0.3816 0.7500
0.8750 0.8684 0.7500
```